No. 1
## MgCdOs4 (PBE)

Data for MgCdOs4 after structural relaxation.

Computed properties:
M_tot = 0.0031 μB per atom
ρ = 14.726 Mg/m³
calculated formation energy = 0.500 eV/atom

a = 5.231 Å, b = 5.231 Å, c = 5.231 Å
α = 60.00°, β = 60.00°, γ = 60.00°
Fractional coordinates of all 6 atoms:
Mg 0.000 0.000 0.000
Cd 0.250 0.250 0.250
Os 0.625 0.625 0.125
Os 0.625 0.125 0.625
Os 0.625 0.625 0.625
Os 0.125 0.625 0.625

***

No. 2
## Mg2CdOs (PBE)

Data for Mg2CdOs after structural relaxation.

Computed properties:
M_tot = 0.0000 μB per atom
ρ = 7.889 Mg/m³
calculated formation energy = 0.314 eV/atom

a = 9.952 Å, b = 9.952 Å, c = 9.952 Å
α = 17.05°, β = 17.05°, γ = 17.05°
Fractional coordinates of all 4 atoms:
Cd 0.756 0.756 0.756
Mg 0.000 0.000 0.000
Mg 0.242 0.242 0.242
Os 0.503 0.503 0.503

***

No. 3
## MgCd2Os (PBE)

Data for MgCd2Os after structural relaxation.

Computed properties:
M_tot = 0.0000 μB per atom
ρ = 10.067 Mg/m³
calculated formation energy = 0.378 eV/atom

a = 4.680 Å, b = 4.680 Å, c = 4.680 Å
α = 60.00°, β = 60.00°, γ = 60.00°
Fractional coordinates of all 4 atoms:
Cd 0.000 0.000 0.000
Cd 0.750 0.750 0.750
Mg 0.500 0.500 0.500
Os 0.250 0.250 0.250

***

No. 4
## MgCdOs2 (PBE)

Data for MgCdOs2 after structural relaxation.

Computed properties:
M_tot = 0.0000 μB per atom
ρ = 13.321 Mg/m³
calculated formation energy = 0.817 eV/atom

a = 4.501 Å, b = 4.501 Å, c = 4.501 Å
α = 60.00°, β = 60.00°, γ = 60.00°
Fractional coordinates of all 4 atoms:
Mg 0.000 0.000 0.000
Os 0.250 0.250 0.250
Os 0.750 0.750 0.750
Cd 0.500 0.500 0.500

***

No. 5
## MgCdOs2 (PBE)

Data for MgCdOs2 after structural relaxation.

Computed properties:
M_tot = 0.0003 μB per atom
ρ = 13.168 Mg/m³
calculated formation energy = 0.570 eV/atom

a = 5.178 Å, b = 5.178 Å, c = 5.178 Å
α = 136.39°, β = 136.39°, γ = 63.38°
Fractional coordinates of all 4 atoms:
Cd 0.250 0.750 0.500
Mg 0.750 0.250 0.500
Os 0.000 0.000 0.000
Os 0.500 0.500 0.000

***

No. 6
## MgCd2Os (PBE)

Data for MgCd2Os after structural relaxation.

Computed properties:
M_tot = 0.0003 μB per atom
ρ = 9.897 Mg/m³
calculated formation energy = 0.352 eV/atom

a = 3.371 Å, b = 3.371 Å, c = 6.485 Å
α = 90.00°, β = 90.00°, γ = 90.00°
Fractional coordinates of all 4 atoms:
Cd 0.000 0.000 0.975
Cd 0.500 0.500 0.260
Mg 0.000 0.000 0.534
Os 0.500 0.500 0.731

***

No. 7
## MgCdOs2 (PBE)

Data for MgCdOs2 after structural relaxation.

Computed properties:
M_tot = 0.0000 μB per atom
ρ = 13.104 Mg/m³
calculated formation energy = 0.591 eV/atom

a = 5.103 Å, b = 5.103 Å, c = 2.842 Å
α = 90.00°, β = 90.00°, γ = 117.67°
Fractional coordinates of all 4 atoms:
Cd 0.500 0.000 0.500
Mg 0.000 0.500 0.500
Os 0.000 0.000 0.000
Os 0.500 0.500 0.000

***

No. 8
## MgCd2Os (PBE)

Data for MgCd2Os after structural relaxation.

Computed properties:
M_tot = 0.1465 μB per atom
ρ = 9.063 Mg/m³
calculated formation energy = 0.653 eV/atom

a = 4.036 Å, b = 4.036 Å, c = 10.289 Å
α = 78.69°, β = 78.69°, γ = 90.00°
Each line ends with the local moment (μB).
Fractional coordinates of all 8 atoms:
Mg 0.500 0.500 0.000  -0.01
Mg 0.250 0.750 0.500  -0.01
Os 0.000 0.000 0.000  0.58
Os 0.750 0.250 0.500  0.58
Cd 0.639 0.125 0.250  0.00
Cd 0.111 0.625 0.250  0.00
Cd 0.375 0.361 0.750  -0.01
Cd 0.875 0.889 0.750  -0.01